Run one
Below is a PBEsol-optimized structure of KScBe, with properties calculated at the SCAN level.

## Properties
For the total moment, the calculation gives 1.99 μB/f.u. The space group is F-43m (216).

abc: 4.865 4.865 4.865
angles: 60.00 60.00 60.00
Last column: magnetic moment on the atom in μB.
Element x y z (fractional)
Sc 0.250 0.250 0.250  0.78
Be 0.000 0.000 0.000  0.20
K 0.500 0.500 0.500  0.04

=====

Run two
Below is a PBEsol-optimized structure of KScBe, with properties calculated at the SCAN level.

## Properties
For the total moment, the calculation gives 0.05 μB/f.u. The space group is P3m1 (156).

abc: 2.821 5.168 5.168
angles: 120.00 90.00 90.00
Element x y z (fractional)
Sc 0.504 0.667 0.333
Be 0.001 0.000 0.000
K 0.495 0.333 0.667

=====

Which structure is the least stable? The one labeled run one.

=====

Run one
Below is a PBEsol-optimized structure of KBeTl, with properties calculated at the SCAN level.

## Properties
For the total moment, the calculation gives 0.00 μB/f.u. The space group is F-43m (216).

abc: 5.067 5.067 5.067
angles: 60.00 60.00 60.00
Element x y z (fractional)
Be 0.000 0.000 0.000
Tl 0.250 0.250 0.250
K 0.500 0.500 0.500

=====

Run two
Below is a PBEsol-optimized structure of KBeTl, with properties calculated at the SCAN level.

## Properties
For the total moment, the calculation gives 0.00 μB/f.u. The space group is F-43m (216).

abc: 5.243 5.243 5.243
angles: 60.00 60.00 60.00
Element x y z (fractional)
Be 0.500 0.500 0.500
Tl 0.000 0.000 0.000
K 0.250 0.250 0.250

=====

Run three
Below is a PBEsol-optimized structure of KBeTl, with properties calculated at the SCAN level.

## Properties
For the total moment, the calculation gives 0.00 μB/f.u. The space group is P-6m2 (187).

abc: 4.280 4.280 5.431
angles: 90.00 90.00 120.00
Element x y z (fractional)
Be 0.000 0.000 0.500
Tl 0.333 0.667 0.500
K 0.667 0.333 0.000

=====

Which structure is the least stable? The one labeled run two.

=====

Run one
Below is a PBEsol-optimized structure of K2BeTl, with properties calculated at the SCAN level.

## Properties
For the total moment, the calculation gives 0.00 μB/f.u. The space group is Amm2 (38).

abc: 4.610 6.015 6.026
angles: 119.94 90.00 90.00
Element x y z (fractional)
Be 0.500 0.625 0.250
Tl 0.000 0.626 0.251
K 0.000 0.959 0.918
K 0.500 0.292 0.584

=====

Run two
Below is a PBEsol-optimized structure of K2BeTl, with properties calculated at the SCAN level.

## Properties
For the total moment, the calculation gives 0.00 μB/f.u. The space group is Imm2 (44).

abc: 4.572 6.128 6.379
angles: 118.71 111.00 90.00
Element x y z (fractional)
Be 0.133 0.633 0.266
Tl 0.602 0.602 0.204
K 0.973 0.973 0.946
K 0.792 0.292 0.584

=====

Which structure is the least stable? The one labeled run two.

=====

Run one
Below is a PBEsol-optimized structure of KBeTl2, with properties calculated at the SCAN level.

## Properties
For the total moment, the calculation gives 0.00 μB/f.u. The space group is P4/mmm (123).

abc: 4.805 4.505 4.808
angles: 90.00 90.00 90.00
Element x y z (fractional)
Be 0.500 0.500 0.000
Tl 0.000 0.000 0.000
Tl 0.500 0.000 0.500
K 0.000 0.500 0.500

=====

Run two
Below is a PBEsol-optimized structure of KBeTl2, with properties calculated at the SCAN level.

## Properties
For the total moment, the calculation gives 0.00 μB/f.u. The space group is Pmm2 (25).

abc: 3.545 3.823 8.077
angles: 90.00 90.00 90.00
Element x y z (fractional)
Be 0.000 0.000 0.382
Tl 0.000 0.000 0.053
Tl 0.500 0.500 0.325
K 0.500 0.500 0.740

=====

Which structure is the least stable? The one labeled run one.